Record 1
LiAc2Ru at its PBEsol-relaxed geometry, computed with meta-GGA SCAN.

Values from the calculation:
formation energy: -18 kJ/mol of formula units

Geometry as CIF:
```
data_LiAc2Ru
_chemical_formula_sum 'Li4 Ac8 Ru4'
_cell_length_a 7.449
_cell_length_b 7.449
_cell_length_c 7.449
_cell_angle_alpha 90.00
_cell_angle_beta 90.00
_cell_angle_gamma 90.00
_space_group_name_H-M_alt 'F m -3 m'
_space_group_IT_number 225
_space_group_name_Hall '-F 4 2 3'
loop_
_atom_site_label
_atom_site_type_symbol
_atom_site_fract_x
_atom_site_fract_y
_atom_site_fract_z
Li1 Li 0.000 0.000 0.000
Ac1 Ac 0.250 0.250 0.250
Ru1 Ru 0.000 0.000 0.500
```



Record 2
LiAc2Si at its PBEsol-relaxed geometry, computed with meta-GGA SCAN.

Values from the calculation:
E_tot: -48.552 eV/atom

Geometry as CIF:
```
data_LiAc2Si
_chemical_formula_sum 'Li4 Ac8 Si4'
_cell_length_a 7.659
_cell_length_b 7.659
_cell_length_c 7.659
_cell_angle_alpha 90.00
_cell_angle_beta 90.00
_cell_angle_gamma 90.00
_space_group_name_H-M_alt 'F m -3 m'
_space_group_IT_number 225
_space_group_name_Hall '-F 4 2 3'
loop_
_atom_site_label
_atom_site_type_symbol
_atom_site_fract_x
_atom_site_fract_y
_atom_site_fract_z
Li1 Li 0.000 0.000 0.000
Ac1 Ac 0.250 0.250 0.250
Si1 Si 0.000 0.000 0.500
```



Record 3
LiAcTl2 at its PBEsol-relaxed geometry, computed with meta-GGA SCAN.

Values from the calculation:
formation energy: -183 kJ/mol of formula units

Geometry as CIF:
```
data_LiAcTl2
_chemical_formula_sum 'Li4 Ac4 Tl8'
_cell_length_a 7.677
_cell_length_b 7.677
_cell_length_c 7.677
_cell_angle_alpha 90.00
_cell_angle_beta 90.00
_cell_angle_gamma 90.00
_space_group_name_H-M_alt 'F m -3 m'
_space_group_IT_number 225
_space_group_name_Hall '-F 4 2 3'
loop_
_atom_site_label
_atom_site_type_symbol
_atom_site_fract_x
_atom_site_fract_y
_atom_site_fract_z
Li1 Li 0.000 0.000 0.000
Ac1 Ac 0.000 0.000 0.500
Tl1 Tl 0.250 0.250 0.250
```



Record 4
AcMg3 at its PBEsol-relaxed geometry, computed with meta-GGA SCAN.

Values from the calculation:
formation energy: -14 kJ/mol of formula units

Geometry as CIF:
```
data_AcMg3
_chemical_formula_sum 'Ac2 Mg6'
_cell_length_a 7.0948
_cell_length_b 7.0948
_cell_length_c 5.2893
_cell_angle_alpha 90.00
_cell_angle_beta 90.00
_cell_angle_gamma 120.00
_space_group_name_H-M_alt 'P 63/m m c'
_space_group_IT_number 194
_space_group_name_Hall '-P 6c 2c'
loop_
_atom_site_label
_atom_site_type_symbol
_atom_site_fract_x
_atom_site_fract_y
_atom_site_fract_z
Ac1 Ac 0.3333 0.6667 0.2500
Mg1 Mg 0.1544 0.3088 0.7500
```



Record 5
AcNdMg2 at its PBEsol-relaxed geometry, computed with meta-GGA SCAN.

Values from the calculation:
formation energy: -35 kJ/mol of formula units

Geometry as CIF:
```
data_AcNdMg2
_chemical_formula_sum 'Ac4 Nd4 Mg8'
_cell_length_a 7.898
_cell_length_b 7.898
_cell_length_c 7.898
_cell_angle_alpha 90.00
_cell_angle_beta 90.00
_cell_angle_gamma 90.00
_space_group_name_H-M_alt 'F m -3 m'
_space_group_IT_number 225
_space_group_name_Hall '-F 4 2 3'
loop_
_atom_site_label
_atom_site_type_symbol
_atom_site_fract_x
_atom_site_fract_y
_atom_site_fract_z
Ac1 Ac 0.000 0.000 0.000
Nd1 Nd 0.000 0.000 0.500
Mg1 Mg 0.250 0.250 0.250
```



Record 6
AcMgO3 at its PBEsol-relaxed geometry, computed with meta-GGA SCAN.

Values from the calculation:
E_tot: -25.718 eV/atom

Geometry as CIF:
```
data_AcMgO3
_chemical_formula_sum 'Ac1 Mg1 O3'
_cell_length_a 3.962
_cell_length_b 3.962
_cell_length_c 3.962
_cell_angle_alpha 90.00
_cell_angle_beta 90.00
_cell_angle_gamma 90.00
_space_group_name_H-M_alt 'P m -3 m'
_space_group_IT_number 221
_space_group_name_Hall '-P 4 2 3'
loop_
_atom_site_label
_atom_site_type_symbol
_atom_site_fract_x
_atom_site_fract_y
_atom_site_fract_z
Ac1 Ac 0.000 0.000 0.000
Mg1 Mg 0.500 0.500 0.500
O1 O 0.000 0.500 0.500
```



Record 7
Ac2MgPb at its PBEsol-relaxed geometry, computed with meta-GGA SCAN.

Values from the calculation:
formation energy: -158 kJ/mol of formula units

Geometry as CIF:
```
data_Ac2MgPb
_chemical_formula_sum 'Ac8 Mg4 Pb4'
_cell_length_a 8.140
_cell_length_b 8.140
_cell_length_c 8.140
_cell_angle_alpha 90.00
_cell_angle_beta 90.00
_cell_angle_gamma 90.00
_space_group_name_H-M_alt 'F m -3 m'
_space_group_IT_number 225
_space_group_name_Hall '-F 4 2 3'
loop_
_atom_site_label
_atom_site_type_symbol
_atom_site_fract_x
_atom_site_fract_y
_atom_site_fract_z
Ac1 Ac 0.250 0.250 0.250
Mg1 Mg 0.000 0.000 0.000
Pb1 Pb 0.000 0.000 0.500
```



Record 8
Ac2MgSn at its PBEsol-relaxed geometry, computed with meta-GGA SCAN.

Values from the calculation:
formation energy: -160 kJ/mol of formula units

Geometry as CIF:
```
data_Ac2MgSn
_chemical_formula_sum 'Ac8 Mg4 Sn4'
_cell_length_a 8.059
_cell_length_b 8.059
_cell_length_c 8.059
_cell_angle_alpha 90.00
_cell_angle_beta 90.00
_cell_angle_gamma 90.00
_space_group_name_H-M_alt 'F m -3 m'
_space_group_IT_number 225
_space_group_name_Hall '-F 4 2 3'
loop_
_atom_site_label
_atom_site_type_symbol
_atom_site_fract_x
_atom_site_fract_y
_atom_site_fract_z
Ac1 Ac 0.250 0.250 0.250
Mg1 Mg 0.000 0.000 0.000
Sn1 Sn 0.000 0.000 0.500
```



Record 9
Ac2MgTl at its PBEsol-relaxed geometry, computed with meta-GGA SCAN.

Values from the calculation:
formation energy: -128 kJ/mol of formula units

Geometry as CIF:
```
data_Ac2MgTl
_chemical_formula_sum 'Ac8 Mg4 Tl4'
_cell_length_a 8.107
_cell_length_b 8.107
_cell_length_c 8.107
_cell_angle_alpha 90.00
_cell_angle_beta 90.00
_cell_angle_gamma 90.00
_space_group_name_H-M_alt 'F m -3 m'
_space_group_IT_number 225
_space_group_name_Hall '-F 4 2 3'
loop_
_atom_site_label
_atom_site_type_symbol
_atom_site_fract_x
_atom_site_fract_y
_atom_site_fract_z
Ac1 Ac 0.250 0.250 0.250
Mg1 Mg 0.000 0.000 0.000
Tl1 Tl 0.000 0.000 0.500
```



Record 10
AcMgZn2 at its PBEsol-relaxed geometry, computed with meta-GGA SCAN.

Values from the calculation:
formation energy: -104 kJ/mol of formula units

Geometry as CIF:
```
data_AcMgZn2
_chemical_formula_sum 'Ac4 Mg4 Zn8'
_cell_length_a 7.200
_cell_length_b 7.200
_cell_length_c 7.200
_cell_angle_alpha 90.00
_cell_angle_beta 90.00
_cell_angle_gamma 90.00
_space_group_name_H-M_alt 'F m -3 m'
_space_group_IT_number 225
_space_group_name_Hall '-F 4 2 3'
loop_
_atom_site_label
_atom_site_type_symbol
_atom_site_fract_x
_atom_site_fract_y
_atom_site_fract_z
Ac1 Ac 0.000 0.000 0.000
Mg1 Mg 0.000 0.000 0.500
Zn1 Zn 0.250 0.250 0.250
```



Record 11
AcMnO3 at its PBEsol-relaxed geometry, computed with meta-GGA SCAN.

Values from the calculation:
E_tot: -28.560 eV/atom

Geometry as CIF:
```
data_AcMnO3
_chemical_formula_sum 'Ac1 Mn1 O3'
_cell_length_a 3.922
_cell_length_b 3.922
_cell_length_c 3.922
_cell_angle_alpha 90.00
_cell_angle_beta 90.00
_cell_angle_gamma 90.00
_space_group_name_H-M_alt 'P m -3 m'
_space_group_IT_number 221
_space_group_name_Hall '-P 4 2 3'
loop_
_atom_site_label
_atom_site_type_symbol
_atom_site_fract_x
_atom_site_fract_y
_atom_site_fract_z
Ac1 Ac 0.000 0.000 0.000
Mn1 Mn 0.500 0.500 0.500
O1 O 0.000 0.500 0.500
```



Record 12
AcN at its PBEsol-relaxed geometry, computed with meta-GGA SCAN.

Values from the calculation:
E_tot: -51.242 eV/atom

Geometry as CIF:
```
data_AcN
_chemical_formula_sum 'Ac2 N2'
_cell_length_a 4.2432
_cell_length_b 4.2432
_cell_length_c 6.2159
_cell_angle_alpha 90.00
_cell_angle_beta 90.00
_cell_angle_gamma 120.00
_space_group_name_H-M_alt 'P 63 m c'
_space_group_IT_number 186
_space_group_name_Hall 'P 6c -2c'
loop_
_atom_site_label
_atom_site_type_symbol
_atom_site_fract_x
_atom_site_fract_y
_atom_site_fract_z
Ac1 Ac 0.3333 0.6667 0.0000
N1 N 0.3333 0.6667 0.5931
```